Computed, not measured: a relaxed Co2SnO4 crystal at the GGA+U level of DFT.

Properties
As for the space group: No. 227. The value obtained for the mass density is 6.3 g cm⁻³. The value obtained for the total energy is -41.58 eV per formula unit. The calculation puts the total magnetization at 6.04 μB/f.u.

CIF file:
```
data_Co2SnO4
_chemical_formula_sum 'Co4 Sn2 O8'
_cell_length_a 6.0820
_cell_length_b 6.0820
_cell_length_c 6.0820
_cell_angle_alpha 60.00
_cell_angle_beta 60.00
_cell_angle_gamma 60.00
_symmetry_space_group_name_H-M 'P 1'
_symmetry_Int_Tables_number 1
loop_
_symmetry_equiv_pos_as_xyz
'x,y,z'
loop_
_atom_site_label
_atom_site_fract_x
_atom_site_fract_y
_atom_site_fract_z
_atom_site_occupancy
Co1 0.0000 0.0000 0.0000 1
Co2 0.0000 0.0000 0.5000 1
Co3 0.0000 0.5000 0.0000 1
Co4 0.5000 0.0000 0.0000 1
Sn1 0.3750 0.3750 0.3750 1
Sn2 0.6250 0.6250 0.6250 1
O1 0.2249 0.7584 0.7584 1
O2 0.2416 0.2416 0.2416 1
O3 0.2416 0.2416 0.7751 1
O4 0.2416 0.7751 0.2416 1
O5 0.7584 0.2249 0.7584 1
O6 0.7584 0.7584 0.2249 1
O7 0.7584 0.7584 0.7584 1
O8 0.7751 0.2416 0.2416 1
```